(1)
VASP calculation (meta-GGA SCAN) on a PBEsol-optimized structure of InAs2Pt.

Cell lengths 2.8341, 5.0107, 5.2870 Å; angles 90.00, 90.03, 90.00 degrees
With the nearest neighbours (Å) after each atom.
Fractional coordinates of all 4 atoms:
As (0.1941, 0.0000, 0.8752)  4 As 2.59-2.83, 2 In 2.72
As (0.9600, 0.5000, 0.8748)  4 As 2.59-2.83, 2 Pt 2.65
Pt (0.9192, 0.5000, 0.3748)  2 As 2.65, 2 Pt 2.83, 4 In 2.87-2.89
In (0.4267, 0.0000, 0.3752)  2 As 2.72, 2 In 2.83, 4 Pt 2.87-2.89

raw total energy: -2.64769 Ry/atom

(2)
VASP calculation (meta-GGA SCAN) on a PBEsol-optimized structure of InAs2Pt.

Cell lengths 3.1696, 3.1696, 7.3607 Å; angles 90.00, 90.00, 90.00 degrees
With the nearest neighbours (Å) after each atom.
Fractional coordinates of all 4 atoms:
As (0.0000, 0.0000, 0.9655)  4 Pt 2.65
In (0.0000, 0.0000, 0.5196)  4 Pt 2.91, 4 As 3.03, 4 In 3.17
As (0.5000, 0.5000, 0.2426)  4 In 3.03, 8 As 3.03-3.17
Pt (0.5000, 0.5000, 0.7724)  4 As 2.65, 4 In 2.91

raw total energy: -2.63992 Ry/atom

Question: The lowest raw total energy belongs to which entry?
Answer: number 1

What did the first record say?
VASP calculation (meta-GGA SCAN) on a PBEsol-optimized structure of InAs2Pt.

Cell lengths 2.8341, 5.0107, 5.2870 Å; angles 90.00, 90.03, 90.00 degrees
With the nearest neighbours (Å) after each atom.
Fractional coordinates of all 4 atoms:
As (0.1941, 0.0000, 0.8752)  4 As 2.59-2.83, 2 In 2.72
As (0.9600, 0.5000, 0.8748)  4 As 2.59-2.83, 2 Pt 2.65
Pt (0.9192, 0.5000, 0.3748)  2 As 2.65, 2 Pt 2.83, 4 In 2.87-2.89
In (0.4267, 0.0000, 0.3752)  2 As 2.72, 2 In 2.83, 4 Pt 2.87-2.89

raw total energy: -2.64769 Ry/atom

Question: What is the raw total energy in the second record?
Answer: -2.63992 Ry/atom

Question: The highest raw total energy belongs to which entry?
Answer: number 2